[1]
The following is a PBE-GGA calculation of a geometry-optimized Tm3ZrH8 structure, from the Alexandria database.

Its crystal system is cubic. As for the space-group type: No. 221. The value obtained for the total energy is -4.7448 eV per atom.

a b c (Å): 4.993 4.993 4.993
angles (deg): 90.00 90.00 90.00
Atoms (fractional coordinates):
Tm 0.500 0.500 0.000
Tm 0.500 0.000 0.500
Tm 0.000 0.500 0.500
Zr 0.000 0.000 0.000
H 0.242 0.242 0.758
H 0.242 0.758 0.242
H 0.758 0.242 0.242
H 0.758 0.758 0.758
H 0.758 0.758 0.242
H 0.758 0.242 0.758
H 0.242 0.758 0.758
H 0.242 0.242 0.242

[2]
The following is a PBE-GGA calculation of a geometry-optimized TmZr2H structure, from the Alexandria database.

Its crystal system is trigonal. As for the space-group type: No. 166. The value obtained for the total energy is -6.1498 eV per atom.

a b c (Å): 3.191 3.191 9.017
angles (deg): 79.81 79.81 60.00
Atoms (fractional coordinates):
H 0.500 0.500 0.500
Tm 0.000 0.000 0.000
Zr 0.116 0.116 0.652
Zr 0.884 0.884 0.348

[3]
The following is a PBE-GGA calculation of a geometry-optimized TmZr3H structure, from the Alexandria database.

Its crystal system is cubic. As for the space-group type: No. 221. The value obtained for the total energy is -6.7668 eV per atom.

a b c (Å): 4.620 4.620 4.620
angles (deg): 90.00 90.00 90.00
Atoms (fractional coordinates):
H 0.000 0.000 0.000
Tm 0.500 0.500 0.500
Zr 0.000 0.500 0.000
Zr 0.000 0.000 0.500
Zr 0.500 0.000 0.000

[4]
The following is a PBE-GGA calculation of a geometry-optimized TmZr2H4 structure, from the Alexandria database.

Its crystal system is monoclinic. As for the space-group type: No. 15. The value obtained for the total energy is -5.4523 eV per atom.

a b c (Å): 6.282 6.282 6.276
angles (deg): 120.04 120.04 89.96
Atoms (fractional coordinates):
Tm 0.250 0.750 0.500
Tm 0.000 0.000 0.000
Zr 0.625 0.375 0.750
Zr 0.625 0.875 0.250
Zr 0.625 0.375 0.250
Zr 0.125 0.375 0.750
H 0.856 0.142 0.285
H 0.394 0.608 0.215
H 0.857 0.572 0.715
H 0.858 0.144 0.715
H 0.428 0.143 0.285
H 0.393 0.178 0.785
H 0.392 0.606 0.785
H 0.822 0.607 0.215

[5]
The following is a PBE-GGA calculation of a geometry-optimized Tm2ZrH structure, from the Alexandria database.

Its crystal system is tetragonal. As for the space-group type: No. 123. The polymorph energy (0 for the lowest one) is 14 meV/atom. The value obtained for the total energy is -5.1052 eV per atom.

a b c (Å): 3.225 3.225 7.973
angles (deg): 90.00 90.00 90.00
Atoms (fractional coordinates):
H 0.500 0.500 0.000
Tm 0.000 0.000 0.795
Tm 0.000 0.000 0.205
Zr 0.500 0.500 0.500

[6]
The following is a PBE-GGA calculation of a geometry-optimized UH3 structure, from the Alexandria database.

Its crystal system is cubic. As for the space-group type: No. 223. The value obtained for the total energy is -5.6219 eV per atom.

a b c (Å): 4.105 4.105 4.105
angles (deg): 90.00 90.00 90.00
Atoms (fractional coordinates):
U 0.500 0.500 0.500
U 0.000 0.000 0.000
H 0.500 0.250 0.000
H 0.500 0.750 0.000
H 0.250 0.000 0.500
H 0.750 0.000 0.500
H 0.000 0.500 0.250
H 0.000 0.500 0.750

[7]
The following is a PBE-GGA calculation of a geometry-optimized U3H structure, from the Alexandria database.

Its crystal system is orthorhombic. As for the space-group type: No. 25. The value obtained for the total energy is -8.9752 eV per atom.

a b c (Å): 3.649 3.668 4.927
angles (deg): 90.00 90.00 90.00
Atoms (fractional coordinates):
H 0.000 0.500 0.318
U 0.000 0.000 0.035
U 0.500 0.000 0.462
U 0.500 0.500 0.853

[8]
The following is a PBE-GGA calculation of a geometry-optimized U8H structure, from the Alexandria database.

Its crystal system is trigonal. As for the space-group type: No. 164. The value obtained for the total energy is -10.2025 eV per atom.

a b c (Å): 5.957 5.957 5.595
angles (deg): 90.00 90.00 120.00
Atoms (fractional coordinates):
H 0.333 0.167 0.250
U 0.504 0.507 0.991
U 0.504 0.996 0.991
U 0.993 0.996 0.991
U 0.000 0.500 0.013
U 0.163 0.337 0.509
U 0.163 0.826 0.509
U 0.667 0.833 0.487
U 0.674 0.337 0.509

[9]
The following is a PBE-GGA calculation of a geometry-optimized UH5 structure, from the Alexandria database.

Its crystal system is orthorhombic. As for the space-group type: No. 65. The value obtained for the total energy is -4.6756 eV per atom.

a b c (Å): 3.504 3.402 3.971
angles (deg): 115.37 90.00 90.00
Atoms (fractional coordinates):
H 0.500 0.850 0.701
H 0.000 0.691 0.381
H 0.500 0.500 0.000
H 0.000 0.309 0.619
H 0.500 0.150 0.299
U 0.000 0.000 0.000

[10]
The following is a PBE-GGA calculation of a geometry-optimized UH2 structure, from the Alexandria database.

Its crystal system is cubic. As for the space-group type: No. 227. The value obtained for the total energy is -5.5469 eV per atom.

a b c (Å): 4.314 4.314 4.314
angles (deg): 60.00 60.00 60.00
Atoms (fractional coordinates):
H 0.125 0.625 0.625
H 0.625 0.125 0.625
H 0.625 0.625 0.625
H 0.625 0.625 0.125
U 0.000 0.000 0.000
U 0.250 0.250 0.250

[11]
The following is a PBE-GGA calculation of a geometry-optimized UH4 structure, from the Alexandria database.

Its crystal system is cubic. As for the space-group type: No. 221. The value obtained for the total energy is -4.4289 eV per atom.

a b c (Å): 4.010 4.010 4.010
angles (deg): 90.00 90.00 90.00
Atoms (fractional coordinates):
H 0.000 0.000 0.000
H 0.500 0.000 0.500
H 0.000 0.500 0.500
H 0.500 0.500 0.000
U 0.500 0.500 0.500

[12]
The following is a PBE-GGA calculation of a geometry-optimized UH structure, from the Alexandria database.

Its crystal system is monoclinic. As for the space-group type: No. 11. The value obtained for the total energy is -7.4599 eV per atom.

a b c (Å): 3.614 3.654 3.581
angles (deg): 90.00 88.96 90.00
Atoms (fractional coordinates):
H 0.553 0.250 0.646
H 0.447 0.750 0.354
U 0.820 0.750 0.824
U 0.180 0.250 0.176